This record from Alexandria via LeMat-Bulk describes a relaxed Ce2CdSb3Pd4 crystal. The functional is PBE-GGA.

a b c (Å): 4.453 4.453 11.262
angles (deg): 90.00 90.00 90.00
Last column: magnetic moment on the atom in μB.
Sites, in units of the cell vectors:
Ce1 0.500 0.000 0.238  0.77
Ce2 0.000 0.500 0.762  0.77
Cd1 0.500 0.500 0.500  0.00
Sb1 0.000 0.000 0.500  -0.01
Sb2 0.500 0.000 0.867  -0.01
Sb3 0.000 0.500 0.133  -0.01
Pd1 0.500 0.500 0.000  0.00
Pd2 0.000 0.000 0.000  -0.01
Pd3 0.500 0.000 0.639  -0.01
Pd4 0.000 0.500 0.361  -0.01

Properties
ΔE_f (raw) = -0.743 eV per atom
Fermi-level density of states = 16.13 states/eV/cell